(1)
{"formula": "Pa2SiOs", "functional": "PBE-GGA", "state": "relaxed", "cell": [[4.2204, 0.0000, 0.0000], [0.0000, 4.2838, 0.0000], [0.0000, 0.0000, 4.2838]], "species": ["Os", "Pa", "Si", "Pa"], "frac_coords": [[0.5000, 0.5000, 0.5000], [0.0000, 0.5000, 0.0000], [0.5000, 0.0000, 0.0000], [0.0000, 0.0000, 0.5000]], "dos_at_fermi_per_ev_atom": 1.4464, "de_polymorph_mev_per_atom": 139}

=====

(2)
{"formula": "Pa2Si5Os3", "functional": "PBE-GGA", "state": "relaxed", "cell": [[5.7959, 0.0000, 0.0000], [2.8979, 7.6436, -0.0003], [2.8979, 1.1787, 7.5522]], "species": ["Si", "Si", "Si", "Os", "Si", "Os", "Os", "Si", "Pa", "Os", "Si", "Si", "Os", "Pa", "Pa", "Si", "Si", "Si", "Os", "Pa"], "frac_coords": [[0.4703, 0.7797, 0.7797], [0.2500, 0.5000, 0.5000], [0.6029, 0.7434, 0.0507], [0.1447, 0.2390, 0.4716], [0.5297, 0.2203, 0.2203], [0.8553, 0.7610, 0.5284], [0.7500, 0.0000, 0.0000], [0.9703, 0.7797, 0.7797], [0.8675, 0.4023, 0.8628], [0.6447, 0.4716, 0.2390], [0.0297, 0.2203, 0.2203], [0.7500, 0.5000, 0.5000], [0.2500, 0.0000, 0.0000], [0.1325, 0.5977, 0.1372], [0.3675, 0.8628, 0.4023], [0.1029, 0.0507, 0.7434], [0.3971, 0.2566, 0.9493], [0.8971, 0.9493, 0.2566], [0.3553, 0.5284, 0.7610], [0.6325, 0.1372, 0.5977]], "final_energy_ev_per_atom": -8.66, "dos_at_fermi_per_ev_atom": 0.6177}

=====

(3)
{"formula": "Pa3Si4Os", "functional": "PBE-GGA", "state": "relaxed", "cell": [[4.3051, 0.0000, 0.0000], [0.0000, 6.0451, 0.0000], [-2.1526, -3.0226, 6.4621]], "species": ["Pa", "Si", "Si", "Si", "Pa", "Si", "Pa", "Os"], "frac_coords": [[0.8323, 0.8323, 0.6647], [0.3728, 0.1751, 0.7457], [0.3728, 0.5705, 0.7457], [0.6272, 0.8249, 0.2543], [0.1677, 0.1677, 0.3353], [0.6272, 0.4295, 0.2543], [0.0000, 0.5000, 0.0000], [0.5000, 0.0000, 0.0000]], "final_energy_ev_per_atom": -8.09, "dos_at_fermi_per_ev_atom": 0.9571}

=====

(4)
{"formula": "PaSiOs", "functional": "PBE-GGA", "state": "relaxed", "cell": [[-0.5473, -0.7783, -3.3110], [3.8424, -1.9973, -0.1657], [-3.5512, -2.2223, 1.1094]], "species": ["Si", "Pa", "Os"], "frac_coords": [[0.1667, 0.3333, 0.6667], [0.6667, 0.6667, 0.3333], [0.1666, 0.0000, 0.0000]], "final_energy_ev_per_atom": -9.30, "dos_at_fermi_per_ev_atom": 1.2294}

=====

(5)
{"formula": "PaSi2Os2", "functional": "PBE-GGA", "state": "relaxed", "cell": [[-4.2536, -2.1854, -3.1125], [0.5056, -0.7225, 5.6373], [-1.6681, 6.9015, -0.2465]], "species": ["Si", "Si", "Si", "Os", "Os", "Os", "Pa", "Si", "Pa", "Os"], "frac_coords": [[0.8080, 0.1920, 0.0000], [0.0580, 0.9420, 0.5000], [0.1920, 0.8080, 0.0000], [0.1395, 0.6395, 0.2790], [0.1105, 0.1105, 0.2210], [0.3605, 0.8605, 0.7210], [0.7500, 0.2500, 0.5000], [0.4420, 0.5580, 0.5000], [0.5000, 0.5000, 0.0000], [0.8895, 0.8895, 0.7790]], "final_energy_ev_per_atom": -9.10, "dos_at_fermi_per_ev_atom": 0.9105}

=====

(6)
{"formula": "PaSiOs2", "functional": "PBE-GGA", "state": "relaxed", "cell": [[-0.0554, -2.2817, -1.9729], [-0.0506, -1.9723, 2.2824], [-7.1061, 0.1766, -0.0048]], "species": ["Pa", "Si", "Os", "Os"], "frac_coords": [[0.5000, 0.5000, 0.5000], [0.5000, 0.5000, 0.0000], [0.0000, 0.0000, 0.7998], [0.0000, 0.0000, 0.2002]], "dos_at_fermi_per_ev_atom": 1.0087, "de_polymorph_mev_per_atom": 0}

=====

(7)
{"formula": "PaSiOs2", "functional": "PBE-GGA", "state": "relaxed", "cell": [[3.8945, 0.0000, 0.0342], [0.0000, 5.5153, 0.0000], [-0.0302, -2.7576, 3.3915]], "species": ["Os", "Si", "Os", "Pa"], "frac_coords": [[0.9997, 0.7959, 0.5918], [0.5000, 0.0000, 0.0000], [0.0003, 0.2041, 0.4082], [0.5000, 0.5000, 0.0000]], "dos_at_fermi_per_ev_atom": 1.3129, "de_polymorph_mev_per_atom": 234}

=====

(8)
{"formula": "Pa2Si5Os", "functional": "PBE-GGA", "state": "relaxed", "cell": [[5.8551, 0.0000, 0.0000], [0.0001, 5.8550, 0.0000], [-2.9273, -2.9273, 4.2156]], "species": ["Pa", "Si", "Si", "Si", "Pa", "Os", "Si", "Si"], "frac_coords": [[0.2636, 0.7635, 0.5271], [0.7167, 0.7167, 0.0110], [0.2943, 0.2943, 0.0110], [0.7254, 0.7254, 0.4507], [0.7635, 0.2636, 0.5271], [0.0026, 0.0026, 0.0052], [0.7167, 0.2943, 0.0110], [0.2943, 0.7167, 0.0110]], "final_energy_ev_per_atom": -7.57, "dos_at_fermi_per_ev_atom": 0.9157}

=====

(9)
{"formula": "Pa2SiOs", "functional": "PBE-GGA", "state": "relaxed", "cell": [[3.6777, 0.0000, 0.0000], [0.0000, 3.6777, 0.0000], [0.0000, 0.0000, 5.9540]], "species": ["Os", "Si", "Pa", "Pa"], "frac_coords": [[0.5000, 0.5000, 0.0000], [0.5000, 0.5000, 0.5000], [0.0000, 0.0000, 0.2564], [0.0000, 0.0000, 0.7436]], "dos_at_fermi_per_ev_atom": 1.0958, "de_polymorph_mev_per_atom": 129}

=====

(10)
{"formula": "PaSi2Os3", "functional": "PBE-GGA", "state": "relaxed", "cell": [[-1.1415, -1.8034, 4.7343], [3.6526, -4.6492, -0.8903], [3.5717, 6.5532, 0.5092]], "species": ["Pa", "Os", "Os", "Os", "Si", "Si", "Os", "Os", "Si", "Os", "Si", "Pa"], "frac_coords": [[0.0000, 0.0000, 0.0000], [0.2010, 0.9510, 0.4021], [0.7990, 0.5490, 0.5979], [0.5000, 0.7500, 0.0000], [0.2293, 0.8416, 0.6833], [0.7707, 0.1584, 0.3167], [0.5000, 0.2500, 0.0000], [0.7990, 0.0490, 0.5979], [0.5460, 0.6584, 0.3167], [0.2010, 0.4510, 0.4021], [0.4540, 0.3416, 0.6833], [0.0000, 0.5000, 0.0000]], "final_energy_ev_per_atom": -9.06, "dos_at_fermi_per_ev_atom": 0.8708}

=====

(11)
{"formula": "Pa5Si5Os2", "functional": "PBE-GGA", "state": "relaxed", "cell": [[-3.5388, 2.6222, -0.3467], [1.0805, -1.7466, 3.9115], [8.8253, 11.9642, 0.4100]], "species": ["Os", "Si", "Pa", "Si", "Pa", "Pa", "Si", "Pa", "Os", "Si", "Si", "Pa"], "frac_coords": [[0.0689, 0.1378, 0.2065], [0.8648, 0.7295, 0.5945], [0.2285, 0.4570, 0.6854], [0.0000, 0.0000, 0.0000], [0.3023, 0.6047, 0.9070], [0.6977, 0.3953, 0.0930], [0.4004, 0.8007, 0.2010], [0.5000, 0.0000, 0.5000], [0.9311, 0.8622, 0.7935], [0.1352, 0.2705, 0.4055], [0.5996, 0.1993, 0.7990], [0.7715, 0.5430, 0.3146]], "final_energy_ev_per_atom": -8.59, "dos_at_fermi_per_ev_atom": 0.8766}

=====

(12)
{"formula": "PaSi2Os4", "functional": "PBE-GGA", "state": "relaxed", "cell": [[-2.1863, 2.8707, 1.4292], [-3.4197, 0.7367, -6.7112], [-5.2352, -5.0398, 2.1143]], "species": ["Pa", "Os", "Si", "Si", "Pa", "Os", "Os", "Si", "Os", "Os", "Si", "Os", "Os", "Os"], "frac_coords": [[0.5000, 0.0000, 0.0000], [0.5000, 0.4226, 0.8395], [0.5000, 0.2784, 0.2784], [0.0000, 0.7784, 0.2216], [0.0000, 0.5000, 0.5000], [0.5000, 0.8395, 0.4226], [0.0000, 0.3395, 0.0774], [0.0000, 0.2216, 0.7784], [0.5000, 0.5774, 0.1605], [0.5000, 0.1605, 0.5774], [0.5000, 0.7216, 0.7216], [0.0000, 0.6605, 0.9226], [0.0000, 0.0774, 0.3395], [0.0000, 0.9226, 0.6605]], "dos_at_fermi_per_ev_atom": 0.7905, "de_polymorph_mev_per_atom": 0}